(1)
# SiSe3

A relaxed SiSe3 crystal (GGA-PBE, Alexandria via LeMat-Bulk).

The value obtained for the theoretical density is 4.2 g/cm³. The uncorrected formation energy is 0.3687 eV/atom.

The space group is Pmmm (No. 47) and the conventional cell measures 2.6495, 5.1120 and 7.7041 Å, with angles of 90.00, 90.00 and 90.00 degrees. The asymmetric unit holds Si at (0.0000, 0.0000, 0.0000), Se at (0.0000, 0.5000, 0.0000) and Se at (0.5000, 0.2628, 0.5000).

(2)
# SiSe2

A relaxed SiSe2 crystal (GGA-PBE, Alexandria via LeMat-Bulk).

The value obtained for the theoretical density is 4.8 g/cm³. The uncorrected formation energy is 0.4000 eV/atom.

The space group is Fm-3m (No. 225) and the conventional cell measures 6.3772, 6.3772 and 6.3772 Å, with angles of 90.00, 90.00 and 90.00 degrees. The asymmetric unit holds Si at (0.0000, 0.0000, 0.0000) and Se at (0.2500, 0.2500, 0.2500).

(3)
# SiSe2

A relaxed SiSe2 crystal (GGA-PBE, Alexandria via LeMat-Bulk).

The value obtained for the theoretical density is 4.5 g/cm³. The uncorrected formation energy is 0.0626 eV/atom.

The space group is P6_3/mmc (No. 194) and the conventional cell measures 3.4440, 3.4440 and 13.3357 Å, with angles of 90.00, 90.00 and 120.00 degrees. The asymmetric unit holds Si at (0.3333, 0.6667, 0.2500) and Se at (0.3333, 0.6667, 0.6306).

| no. | DOS(E_F) (states/eV per cell) |
| --- | --- |
| 1 | 1.560 |
| 2 | 12.571 |
| 3 | 0.789 |